Material: Hf7TiBi2
Method: DFT, PBE-GGA
State: optimized geometry

Properties
space group = No. 225
raw total energy = -7.60 eV per atom

Cell and atoms, written as POSCAR:
```
Hf7TiBi2
1.0
0.000 5.094 5.094
5.094 0.000 5.094
5.094 5.094 0.000
Hf Ti Bi
7 1 2
Direct
0.000 0.000 0.000
0.257 0.257 0.743
0.257 0.743 0.257
0.257 0.743 0.743
0.743 0.257 0.257
0.743 0.257 0.743
0.743 0.743 0.257
0.500 0.500 0.500
0.250 0.250 0.250
0.750 0.750 0.750
```